1.
Here is AuF5 after structural relaxation from the Open Quantum Materials Database. Energies are from PBE.

Properties
Theoretical density: 7.13 Mg/m³
SG: No. 2
Raw total energy: -33.1 eV for the cell shown
E above lowest polymorph: 8 meV/atom

abc: 4.4748 5.0633 6.9075
angles: 74.37 89.87 65.47
Closest atoms and distances in Å follow each position.
Atoms (fractional coordinates):
Au (0.1112, 0.2815, 0.2220)  6 F 1.90-2.06
Au (0.8888, 0.7185, 0.7780)  6 F 1.90-2.06
F (0.0786, 0.6953, 0.0561)  2 Au 2.04-2.06
F (0.1346, 0.8902, 0.3538)  1 Au 1.90
F (0.2765, 0.2960, 0.4707)  1 Au 1.90
F (0.3362, 0.5038, 0.7252)  1 Au 1.93
F (0.4504, 0.9103, 0.8491)  1 Au 1.92
F (0.5496, 0.0897, 0.1509)  1 Au 1.92
F (0.6638, 0.4962, 0.2748)  1 Au 1.93
F (0.7235, 0.7040, 0.5293)  1 Au 1.90
F (0.8654, 0.1098, 0.6462)  1 Au 1.90
F (0.9214, 0.3047, 0.9439)  2 Au 2.04-2.06

=====

2.
Here is TeIrI after structural relaxation from the Open Quantum Materials Database. Energies are from PBE.

Properties
Theoretical density: 7.52 Mg/m³
SG: No. 14
Raw total energy: -53.3 eV for the cell shown

abc: 7.8561 6.8491 8.0706
angles: 90.00 114.64 90.00
Closest atoms and distances in Å follow each position.
Atoms (fractional coordinates):
Te (0.1132, 0.1925, 0.2353)  3 Ir 2.56-2.58
Te (0.1132, 0.3075, 0.7353)  3 Ir 2.56-2.58
Te (0.8868, 0.6925, 0.2647)  3 Ir 2.56-2.58
Te (0.8868, 0.8075, 0.7647)  3 Ir 2.56-2.58
Ir (0.0825, 0.6579, 0.6083)  3 Te 2.56-2.58, 1 I 2.58, 1 Ir 2.74
Ir (0.0825, 0.8421, 0.1083)  3 Te 2.56-2.58, 1 I 2.58, 1 Ir 2.74
Ir (0.9175, 0.1579, 0.8917)  3 Te 2.56-2.58, 1 I 2.58, 1 Ir 2.74
Ir (0.9175, 0.3421, 0.3917)  3 Te 2.56-2.58, 1 I 2.58, 1 Ir 2.74
I (0.3632, 0.6056, 0.2434)  1 Ir 2.58
I (0.3632, 0.8944, 0.7434)  1 Ir 2.58
I (0.6368, 0.1056, 0.2566)  1 Ir 2.58
I (0.6368, 0.3944, 0.7566)  1 Ir 2.58

=====

3.
Here is NdErBi after structural relaxation from the Open Quantum Materials Database. Energies are from PBE.

Properties
Theoretical density: 9.31 Mg/m³
SG: No. 129
Raw total energy: -30.7 eV for the cell shown

abc: 4.5931 4.5931 8.8040
angles: 90.00 90.00 90.00
Closest atoms and distances in Å follow each position.
Atoms (fractional coordinates):
Nd (0.2500, 0.2500, 0.1509)  5 Bi 3.32
Nd (0.7500, 0.7500, 0.8491)  5 Bi 3.32
Er (0.2500, 0.7500, 0.5000)  4 Er 3.25, 4 Bi 3.33
Er (0.7500, 0.2500, 0.5000)  4 Er 3.25, 4 Bi 3.33
Bi (0.2500, 0.2500, 0.7734)  5 Nd 3.32, 4 Er 3.33
Bi (0.7500, 0.7500, 0.2266)  5 Nd 3.32, 4 Er 3.33

=====

4.
Here is BaLiGdS3 after structural relaxation from the Open Quantum Materials Database. Energies are from PBE.

Properties
Theoretical density: 4.54 Mg/m³
SG: No. 62
Raw total energy: -130.2 eV for the cell shown
E above lowest polymorph: 0 meV/atom

abc: 10.4117 4.1222 13.5690
angles: 90.00 90.00 90.00
Closest atoms and distances in Å follow each position.
Atoms (fractional coordinates):
Ba (0.2413, 0.2500, 0.0042)  7 S 3.18-3.45
Ba (0.2587, 0.7500, 0.5042)  7 S 3.18-3.45
Ba (0.7413, 0.2500, 0.4958)  7 S 3.18-3.45
Ba (0.7587, 0.7500, 0.9958)  7 S 3.18-3.45
Li (0.2407, 0.7500, 0.7776)  4 S 2.39-2.43
Li (0.2593, 0.2500, 0.2776)  4 S 2.39-2.43
Li (0.7407, 0.7500, 0.7224)  4 S 2.39-2.43
Li (0.7593, 0.2500, 0.2224)  4 S 2.39-2.43
Gd (0.0090, 0.7500, 0.2526)  6 S 2.76-2.81
Gd (0.4910, 0.2500, 0.7526)  6 S 2.76-2.81
Gd (0.5090, 0.7500, 0.2474)  6 S 2.76-2.81
Gd (0.9910, 0.2500, 0.7474)  6 S 2.76-2.81
S (0.0534, 0.7500, 0.8793)  1 Li 2.39
S (0.0736, 0.2500, 0.3814)  1 Li 2.39
S (0.2422, 0.2500, 0.6822)  2 Li 2.43
S (0.2578, 0.7500, 0.1822)  2 Li 2.43
S (0.4264, 0.7500, 0.8814)  1 Li 2.39
S (0.4466, 0.2500, 0.3793)  1 Li 2.39
S (0.5534, 0.7500, 0.6207)  1 Li 2.39
S (0.5736, 0.2500, 0.1186)  1 Li 2.39
S (0.7422, 0.2500, 0.8178)  2 Li 2.43
S (0.7578, 0.7500, 0.3178)  2 Li 2.43
S (0.9264, 0.7500, 0.6186)  1 Li 2.39
S (0.9466, 0.2500, 0.1207)  1 Li 2.39

=====

5.
Here is PrCu6 after structural relaxation from the Open Quantum Materials Database. Energies are from PBE.

Properties
Theoretical density: 8.34 Mg/m³
SG: No. 62
Raw total energy: -111.8 eV for the cell shown
Energy of formation: -125 meV per atom
E above lowest polymorph: 0 meV/atom

abc: 8.0895 5.0727 10.1310
angles: 90.00 90.00 90.00
Closest atoms and distances in Å follow each position.
Atoms (fractional coordinates):
Pr (0.2402, 0.2500, 0.0636)  13 Cu 2.90-3.23
Pr (0.2598, 0.7500, 0.5636)  13 Cu 2.90-3.23
Pr (0.7402, 0.2500, 0.4364)  13 Cu 2.90-3.23
Pr (0.7598, 0.7500, 0.9364)  13 Cu 2.90-3.23
Cu (0.0626, 0.7500, 0.0968)  5 Cu 2.49-2.61
Cu (0.0657, 0.0051, 0.3090)  9 Cu 2.46-2.71
Cu (0.0657, 0.4949, 0.3090)  9 Cu 2.46-2.71
Cu (0.0968, 0.2500, 0.5166)  6 Cu 2.46-2.63
Cu (0.1469, 0.7500, 0.8577)  8 Cu 2.52-2.76
Cu (0.1822, 0.2500, 0.7547)  9 Cu 2.47-2.76
Cu (0.3178, 0.7500, 0.2547)  9 Cu 2.47-2.76
Cu (0.3531, 0.2500, 0.3577)  8 Cu 2.52-2.76
Cu (0.4032, 0.7500, 0.0166)  6 Cu 2.46-2.63
Cu (0.4343, 0.5051, 0.8090)  9 Cu 2.46-2.71
Cu (0.4343, 0.9949, 0.8090)  9 Cu 2.46-2.71
Cu (0.4374, 0.2500, 0.5968)  5 Cu 2.49-2.61
Cu (0.5626, 0.7500, 0.4032)  5 Cu 2.49-2.61
Cu (0.5657, 0.0051, 0.1910)  9 Cu 2.46-2.71
Cu (0.5657, 0.4949, 0.1910)  9 Cu 2.46-2.71
Cu (0.5968, 0.2500, 0.9834)  6 Cu 2.46-2.63
Cu (0.6469, 0.7500, 0.6423)  8 Cu 2.52-2.76
Cu (0.6822, 0.2500, 0.7453)  9 Cu 2.47-2.76
Cu (0.8178, 0.7500, 0.2453)  9 Cu 2.47-2.76
Cu (0.8531, 0.2500, 0.1423)  8 Cu 2.52-2.76
Cu (0.9032, 0.7500, 0.4834)  6 Cu 2.46-2.63
Cu (0.9343, 0.5051, 0.6910)  9 Cu 2.46-2.71
Cu (0.9343, 0.9949, 0.6910)  9 Cu 2.46-2.71
Cu (0.9374, 0.2500, 0.9032)  5 Cu 2.49-2.61

=====

6.
Here is Li4Au2O5 after structural relaxation from the Open Quantum Materials Database. Energies are from PBE.

Properties
Theoretical density: 6.99 Mg/m³
SG: No. 65
Raw total energy: -49.1 eV for the cell shown

abc: 6.8867 6.8867 4.2576
angles: 90.00 90.00 143.81
Closest atoms and distances in Å follow each position.
Atoms (fractional coordinates):
Li (0.0000, 0.0000, 0.0000)  4 O 1.97-2.14
Li (0.1840, 0.8160, 0.5000)  5 O 2.10-2.17
Li (0.5000, 0.5000, 0.5000)  4 O 2.04-2.13
Li (0.8160, 0.1840, 0.5000)  5 O 2.10-2.17
Au (0.3368, 0.6632, 0.0000)  5 O 2.13-2.15
Au (0.6632, 0.3368, 0.0000)  5 O 2.13-2.15
O (0.1506, 0.8494, 0.0000)  3 Li 1.97-2.17, 2 Au 2.15
O (0.3443, 0.6557, 0.5000)  4 Li 2.04-2.17, 2 Au 2.13
O (0.5000, 0.5000, 0.0000)  4 Li 2.13-2.14, 2 Au 2.14
O (0.6557, 0.3443, 0.5000)  4 Li 2.04-2.17, 2 Au 2.13
O (0.8494, 0.1506, 0.0000)  3 Li 1.97-2.17, 2 Au 2.15